<A>
A relaxed GePd2Pb crystal. Source: Alexandria, functional PBE. Values from VASP.

The structure in Quantum ESPRESSO input format:
```
&SYSTEM
  ibrav = 0, nat = 8, ntyp = 3
/
ATOMIC_SPECIES
Ge 72.64 Ge.upf
Pb 207.20 Pb.upf
Pd 106.42 Pd.upf
CELL_PARAMETERS angstrom
4.491 0.000 0.000
0.000 4.491 0.000
2.245 2.245 8.406
ATOMIC_POSITIONS angstrom
Ge 2.245 4.491 4.203
Pb 0.000 0.000 0.000
Pd 1.367 3.368 2.101
Pd 3.124 1.123 2.101
Pd 3.368 3.612 6.304
Pd 5.614 5.369 6.304
Ge 2.245 2.245 0.000
Pb 4.491 2.245 4.203
```

- Space group: I-42d, No. 122



<B>
A relaxed GePd2Pb crystal. Source: Alexandria, functional PBE. Values from VASP.

The structure in Quantum ESPRESSO input format:
```
&SYSTEM
  ibrav = 0, nat = 8, ntyp = 3
/
ATOMIC_SPECIES
Ge 72.64 Ge.upf
Pd 106.42 Pd.upf
Pb 207.20 Pb.upf
CELL_PARAMETERS angstrom
-1.273 -4.126 2.334
-2.859 -2.928 -5.230
2.502 -4.178 -4.513
ATOMIC_POSITIONS angstrom
Ge -0.468 -4.322 -3.777
Pd 0.413 -6.472 -4.662
Pd -2.357 -3.957 -5.418
Pd -0.165 -7.914 -7.186
Pb -2.331 -6.901 -5.299
Pb -0.111 -9.413 -4.790
Pd 1.005 -2.726 -2.567
Ge 1.080 -6.893 -2.313
```

- Space group: P1, No. 1



<C>
A relaxed GePd2Pb crystal. Source: Alexandria, functional PBE. Values from VASP.

The structure in Quantum ESPRESSO input format:
```
&SYSTEM
  ibrav = 0, nat = 4, ntyp = 3
/
ATOMIC_SPECIES
Pb 207.20 Pb.upf
Ge 72.64 Ge.upf
Pd 106.42 Pd.upf
CELL_PARAMETERS angstrom
-0.964 4.042 -0.298
-0.869 2.193 3.433
4.628 3.365 1.549
ATOMIC_POSITIONS angstrom
Pb 1.398 4.800 2.342
Ge 0.000 0.000 0.000
Pd 0.156 2.266 1.119
Pd 2.640 7.333 3.565
```

- Space group: R-3m, No. 166



<D>
A relaxed GePd2Pb crystal. Source: Alexandria, functional PBE. Values from VASP.

The structure in Quantum ESPRESSO input format:
```
&SYSTEM
  ibrav = 0, nat = 32, ntyp = 3
/
ATOMIC_SPECIES
Pd 106.42 Pd.upf
Pb 207.20 Pb.upf
Ge 72.64 Ge.upf
CELL_PARAMETERS angstrom
-0.512 -5.194 2.734
5.870 -2.138 -2.963
7.955 5.445 11.833
ATOMIC_POSITIONS angstrom
Pd 5.850 -0.322 6.936
Pd 1.260 -2.733 1.288
Pb 7.427 -3.941 2.885
Pd 9.061 -0.508 6.931
Pd 12.053 0.846 10.317
Pb 9.745 1.618 8.612
Pb 1.953 -0.226 2.570
Ge 5.787 -2.768 6.133
Ge 9.669 -2.589 5.628
Pb 5.886 2.054 8.719
Pb 3.568 -3.504 2.992
Ge 3.486 -2.484 -0.107
Ge 5.628 -5.954 0.050
Pd 7.464 -1.565 4.668
Pb 11.361 -1.661 9.035
Ge 7.685 4.068 11.554
Pd 7.986 -1.132 11.893
Ge 3.645 0.703 5.976
Pd 7.723 1.654 10.788
Pd 4.252 -1.379 4.674
Pd 5.485 2.501 5.882
Pd 11.688 3.670 9.263
Pd 7.829 -4.388 5.722
Ge 7.527 0.881 5.471
Pd 5.590 -3.541 0.817
Pb 5.811 -0.662 2.463
Ge 9.827 0.597 11.712
Pd 5.327 -0.755 -0.289
Pd 3.989 1.407 3.568
Pd 1.625 -5.556 2.342
Pb 7.502 -1.225 9.142
Pd 9.324 -3.294 8.036
```

- Space group: Pbca, No. 61



From most stable to least stable, the computed energies give <D>, <C>, <B>, <A>.



<A>
A relaxed GePd6Pb crystal. Source: Alexandria, functional PBE. Values from VASP.

The structure in Quantum ESPRESSO input format:
```
&SYSTEM
  ibrav = 0, nat = 8, ntyp = 3
/
ATOMIC_SPECIES
Pd 106.42 Pd.upf
Ge 72.64 Ge.upf
Pb 207.20 Pb.upf
CELL_PARAMETERS angstrom
-2.490 -3.577 1.839
2.918 -2.621 2.645
-1.343 1.547 7.173
ATOMIC_POSITIONS angstrom
Pd 1.080 -1.342 3.724
Pd 0.224 -4.054 3.306
Pd -1.995 -3.309 7.933
Ge 0.000 0.000 0.000
Pd 0.659 -2.840 8.329
Pd -1.574 -1.811 3.328
Pb -0.458 -2.325 5.829
Pd -1.139 -0.597 8.351
```

- Space group: C2/m, No. 12



<B>
A relaxed GePd6Pb crystal. Source: Alexandria, functional PBE. Values from VASP.

The structure in Quantum ESPRESSO input format:
```
&SYSTEM
  ibrav = 0, nat = 8, ntyp = 3
/
ATOMIC_SPECIES
Pd 106.42 Pd.upf
Pb 207.20 Pb.upf
Ge 72.64 Ge.upf
CELL_PARAMETERS angstrom
4.045 0.000 0.000
0.000 4.045 0.000
0.000 0.000 7.969
ATOMIC_POSITIONS angstrom
Pd 2.022 2.022 0.000
Pd 2.022 0.000 5.853
Pd 2.022 0.000 2.117
Pd 0.000 2.022 5.853
Pb 0.000 0.000 0.000
Pd 2.022 2.022 3.985
Ge 0.000 0.000 3.985
Pd 0.000 2.022 2.117
```

- Space group: P4/mmm, No. 123



From most stable to least stable, the computed energies give <B>, <A>.



<A>
A relaxed GePdPb3 crystal. Source: Alexandria, functional PBE. Values from VASP.

The structure in Quantum ESPRESSO input format:
```
&SYSTEM
  ibrav = 0, nat = 5, ntyp = 3
/
ATOMIC_SPECIES
Pb 207.20 Pb.upf
Ge 72.64 Ge.upf
Pd 106.42 Pd.upf
CELL_PARAMETERS angstrom
-3.514 1.533 -3.866
-4.132 -1.863 3.017
-0.474 4.881 2.365
ATOMIC_POSITIONS angstrom
Pb -1.757 0.766 -1.933
Pb -0.237 2.441 1.183
Ge 0.000 0.000 0.000
Pb -2.066 -0.932 1.509
Pd -4.060 2.275 0.758
```

- Space group: Pm-3m, No. 221



<B>
A relaxed GePdPb3 crystal. Source: Alexandria, functional PBE. Values from VASP.

The structure in Quantum ESPRESSO input format:
```
&SYSTEM
  ibrav = 0, nat = 5, ntyp = 3
/
ATOMIC_SPECIES
Pb 207.20 Pb.upf
Ge 72.64 Ge.upf
Pd 106.42 Pd.upf
CELL_PARAMETERS angstrom
5.351 0.000 0.000
0.000 5.351 0.000
0.000 0.000 5.351
ATOMIC_POSITIONS angstrom
Pb 2.675 0.000 0.000
Ge 2.675 2.675 2.675
Pb 0.000 2.675 0.000
Pb 0.000 0.000 2.675
Pd 0.000 0.000 0.000
```

- Space group: Pm-3m, No. 221



From most stable to least stable, the computed energies give <B>, <A>.



<A>
A relaxed Pm3GePb crystal. Source: Alexandria, functional PBE. Values from VASP.

The structure in Quantum ESPRESSO input format:
```
&SYSTEM
  ibrav = 0, nat = 10, ntyp = 3
/
ATOMIC_SPECIES
Pm 145.00 Pm.upf
Pb 207.20 Pb.upf
Ge 72.64 Ge.upf
CELL_PARAMETERS angstrom
-1.504 0.021 -4.359
4.134 -5.512 -1.452
-7.073 -5.940 2.413
ATOMIC_POSITIONS angstrom
Pm -5.839 -6.829 0.763
Pb -3.346 -9.227 -0.108
Pm -1.749 -9.381 -3.100
Pm -0.727 -4.673 -0.991
Pm -3.717 -6.758 -2.408
Pm -2.695 -2.050 -0.299
Ge -3.598 -4.947 -0.001
Pm 1.396 -4.602 -4.162
Pb -1.097 -2.204 -3.291
Ge -0.846 -6.485 -3.398
```

- Space group: Pmmn, No. 59



<B>
A relaxed Pm3GePb crystal. Source: Alexandria, functional PBE. Values from VASP.

The structure in Quantum ESPRESSO input format:
```
&SYSTEM
  ibrav = 0, nat = 5, ntyp = 3
/
ATOMIC_SPECIES
Pb 207.20 Pb.upf
Pm 145.00 Pm.upf
Ge 72.64 Ge.upf
CELL_PARAMETERS angstrom
-0.912 3.926 3.824
3.282 -2.713 3.569
4.390 2.844 -1.874
ATOMIC_POSITIONS angstrom
Pb 3.380 2.029 2.759
Pm 1.641 -1.357 1.784
Pm -0.456 1.963 1.912
Pm 2.195 1.422 -0.937
Ge 0.000 0.000 0.000
```

- Space group: Pm-3m, No. 221



From most stable to least stable, the computed energies give <A>, <B>.



<A>
A relaxed Pm5Ge2Pb2 crystal. Source: Alexandria, functional PBE. Values from VASP.

The structure in Quantum ESPRESSO input format:
```
&SYSTEM
  ibrav = 0, nat = 18, ntyp = 3
/
ATOMIC_SPECIES
Pm 145.00 Pm.upf
Pb 207.20 Pb.upf
Ge 72.64 Ge.upf
CELL_PARAMETERS angstrom
8.149 0.000 0.000
0.000 7.265 -3.735
0.000 -0.013 8.908
ATOMIC_POSITIONS angstrom
Pm 2.686 5.073 4.024
Pb 4.075 5.166 1.116
Pb 4.075 2.086 4.058
Pm 6.760 3.953 4.600
Pm 1.389 3.299 0.574
Ge 7.077 2.687 -1.381
Pb 0.000 5.718 2.190
Pm 6.760 5.812 -0.718
Pm 5.463 0.320 6.467
Pm 0.000 0.000 0.000
Pm 2.686 6.932 -1.293
Ge 3.002 0.945 -0.486
Pm 4.075 3.632 -1.867
Ge 5.147 6.320 -3.249
Ge 1.072 4.577 -2.353
Pm 5.463 2.179 1.150
Pm 1.389 1.440 5.891
Pb 0.000 1.534 2.983
```

- Space group: Cmce, No. 64



<B>
A relaxed Pm5Ge2Pb2 crystal. Source: Alexandria, functional PBE. Values from VASP.

The structure in Quantum ESPRESSO input format:
```
&SYSTEM
  ibrav = 0, nat = 18, ntyp = 3
/
ATOMIC_SPECIES
Pm 145.00 Pm.upf
Pb 207.20 Pb.upf
Ge 72.64 Ge.upf
CELL_PARAMETERS angstrom
-0.962 8.659 -3.713
-1.032 -2.635 -5.877
-7.494 -3.267 6.401
ATOMIC_POSITIONS angstrom
Pm -2.608 4.477 -6.815
Pb -7.679 -0.925 -1.781
Pb -7.515 3.565 -0.203
Pm -2.106 5.927 -3.934
Pb -1.788 3.737 -1.286
Ge -0.963 3.101 -4.597
Pm -7.351 -2.918 0.953
Pm -6.059 0.938 0.773
Ge -0.998 -2.546 -5.679
Ge -4.109 -1.213 1.355
Pb -1.952 -0.753 -2.864
Pm -3.393 1.914 -3.752
Pm -4.683 -1.964 -1.799
Ge -5.355 4.035 -4.399
Pm -6.820 -1.734 3.949
Pm -4.773 4.807 -1.198
Pm -2.633 1.041 0.125
Pm -6.819 1.811 -3.104
```

- Space group: Ima2, No. 46



From most stable to least stable, the computed energies give <A>, <B>.



<A>
A relaxed Pr4GePb crystal. Source: Alexandria, functional PBE. Values from VASP.

The structure in Quantum ESPRESSO input format:
```
&SYSTEM
  ibrav = 0, nat = 12, ntyp = 3
/
ATOMIC_SPECIES
Ge 72.64 Ge.upf
Pr 140.91 Pr.upf
Pb 207.20 Pb.upf
CELL_PARAMETERS angstrom
6.226 -0.515 0.000
-2.188 8.632 0.000
-2.019 -4.058 7.142
ATOMIC_POSITIONS angstrom
Ge 0.462 4.187 7.124
Pr 3.079 -1.182 2.584
Ge 1.556 -0.129 0.018
Pr 3.789 5.657 1.137
Pb 1.556 -0.129 5.415
Pr 3.361 2.202 1.137
Pr -1.342 1.856 6.005
Pb 0.462 4.187 1.726
Pr -1.060 5.240 4.558
Pr 0.034 0.924 2.584
Pr -1.771 -1.599 6.005
Pr 1.985 3.134 4.558
```

- Space group: C2/c, No. 15



<B>
A relaxed Pr4GePb crystal. Source: Alexandria, functional PBE. Values from VASP.

The structure in Quantum ESPRESSO input format:
```
&SYSTEM
  ibrav = 0, nat = 12, ntyp = 3
/
ATOMIC_SPECIES
Pr 140.91 Pr.upf
Ge 72.64 Ge.upf
Pb 207.20 Pb.upf
CELL_PARAMETERS angstrom
5.505 0.000 -2.381
0.000 6.931 0.000
-0.418 0.000 9.917
ATOMIC_POSITIONS angstrom
Pr 5.016 0.109 0.255
Pr 5.016 3.356 0.255
Pr 3.263 1.733 7.028
Pr 1.914 5.198 4.561
Pr 1.824 5.198 0.507
Pr 3.173 1.733 2.975
Ge 4.163 5.198 2.585
Pr 0.071 3.575 7.280
Pb 3.432 5.198 7.461
Pb 1.655 1.733 0.075
Pr 0.071 6.821 7.280
Ge 0.924 1.733 4.951
```

- Space group: P2_1/m, No. 11



From most stable to least stable, the computed energies give <B>, <A>.



<A>
A relaxed Pr3Ge2Pb crystal. Source: Alexandria, functional PBE. Values from VASP.

The structure in Quantum ESPRESSO input format:
```
&SYSTEM
  ibrav = 0, nat = 12, ntyp = 3
/
ATOMIC_SPECIES
Ge 72.64 Ge.upf
Pb 207.20 Pb.upf
Pr 140.91 Pr.upf
CELL_PARAMETERS angstrom
-7.146 -0.322 3.583
-1.232 -5.571 5.608
-0.569 2.307 7.639
ATOMIC_POSITIONS angstrom
Ge -5.888 -2.360 11.076
Ge -7.533 -3.019 14.170
Pb -4.474 -1.793 8.415
Pr -1.596 -3.180 7.787
Pb 0.000 0.000 0.000
Ge -3.059 -1.226 5.755
Pr -7.351 -0.407 9.044
Pr -3.651 1.260 7.640
Pr -5.937 -2.563 5.611
Pr -3.011 -1.023 11.220
Ge -1.414 -0.567 2.660
Pr -5.296 -4.846 9.190
```

- Space group: R-3c, No. 167



<B>
A relaxed Pr3Ge2Pb crystal. Source: Alexandria, functional PBE. Values from VASP.

The structure in Quantum ESPRESSO input format:
```
&SYSTEM
  ibrav = 0, nat = 6, ntyp = 3
/
ATOMIC_SPECIES
Ge 72.64 Ge.upf
Pr 140.91 Pr.upf
Pb 207.20 Pb.upf
CELL_PARAMETERS angstrom
-0.634 -2.670 3.036
4.761 -0.361 0.677
0.008 7.822 4.122
ATOMIC_POSITIONS angstrom
Ge 1.875 2.437 5.293
Pr 2.063 -1.516 1.856
Pb 0.000 0.000 0.000
Pr -0.207 4.341 3.775
Pr -0.419 0.811 3.383
Ge 2.260 2.354 2.542
```

- Space group: Cmmm, No. 65



From most stable to least stable, the computed energies give <A>, <B>.



<A>
A relaxed PrGePb2 crystal. Source: Alexandria, functional PBE. Values from VASP.

The structure in Quantum ESPRESSO input format:
```
&SYSTEM
  ibrav = 0, nat = 4, ntyp = 3
/
ATOMIC_SPECIES
Ge 72.64 Ge.upf
Pr 140.91 Pr.upf
Pb 207.20 Pb.upf
CELL_PARAMETERS angstrom
-3.090 1.869 -0.388
-3.196 -1.714 0.196
-2.382 1.820 10.724
ATOMIC_POSITIONS angstrom
Ge -4.334 0.988 5.266
Pr 0.000 0.000 0.000
Pb -2.296 1.293 7.505
Pb -6.372 0.683 3.027
```

- Space group: R-3m, No. 166



<B>
A relaxed PrGePb2 crystal. Source: Alexandria, functional PBE. Values from VASP.

The structure in Quantum ESPRESSO input format:
```
&SYSTEM
  ibrav = 0, nat = 4, ntyp = 3
/
ATOMIC_SPECIES
Pb 207.20 Pb.upf
Pr 140.91 Pr.upf
Ge 72.64 Ge.upf
CELL_PARAMETERS angstrom
-3.453 2.440 2.681
-1.640 -4.092 1.612
2.977 0.234 3.621
ATOMIC_POSITIONS angstrom
Pb -0.820 -2.046 0.806
Pb 1.488 0.117 1.811
Pr -1.058 -0.709 3.957
Ge -1.726 1.220 1.340
```

- Space group: P4/mmm, No. 123



From most stable to least stable, the computed energies give <B>, <A>.



<A>
A relaxed GePtPb3 crystal. Source: Alexandria, functional PBE. Values from VASP.

The structure in Quantum ESPRESSO input format:
```
&SYSTEM
  ibrav = 0, nat = 5, ntyp = 3
/
ATOMIC_SPECIES
Pt 195.08 Pt.upf
Pb 207.20 Pb.upf
Ge 72.64 Ge.upf
CELL_PARAMETERS angstrom
5.392 0.000 0.000
0.000 5.392 0.000
0.000 0.000 5.392
ATOMIC_POSITIONS angstrom
Pt 2.696 2.696 2.696
Pb 0.000 2.696 0.000
Pb 0.000 0.000 2.696
Ge 0.000 0.000 0.000
Pb 2.696 0.000 0.000
```

- Space group: Pm-3m, No. 221



<B>
A relaxed GePtPb3 crystal. Source: Alexandria, functional PBE. Values from VASP.

The structure in Quantum ESPRESSO input format:
```
&SYSTEM
  ibrav = 0, nat = 5, ntyp = 3
/
ATOMIC_SPECIES
Pb 207.20 Pb.upf
Ge 72.64 Ge.upf
Pt 195.08 Pt.upf
CELL_PARAMETERS angstrom
5.403 0.000 0.000
0.000 5.403 0.000
0.000 0.000 5.403
ATOMIC_POSITIONS angstrom
Pb 2.702 0.000 0.000
Pb 0.000 2.702 0.000
Ge 2.702 2.702 2.702
Pb 0.000 0.000 2.702
Pt 0.000 0.000 0.000
```

- Space group: Pm-3m, No. 221



From most stable to least stable, the computed energies give <B>, <A>.



<A>
A relaxed Ge2Pt2Pb crystal. Source: Alexandria, functional PBE. Values from VASP.

The structure in Quantum ESPRESSO input format:
```
&SYSTEM
  ibrav = 0, nat = 10, ntyp = 3
/
ATOMIC_SPECIES
Pt 195.08 Pt.upf
Pb 207.20 Pb.upf
Ge 72.64 Ge.upf
CELL_PARAMETERS angstrom
-3.574 5.970 3.974
-6.874 -1.586 -3.800
-0.765 -1.909 2.179
ATOMIC_POSITIONS angstrom
Pt -5.412 -1.079 -0.784
Pb -5.224 2.192 0.087
Pt -8.541 1.597 0.462
Ge -3.155 3.559 2.010
Pb 0.000 0.000 0.000
Pt -2.672 0.879 1.892
Ge -7.294 0.825 -1.836
Pt -5.801 3.555 3.137
Ge -7.443 4.188 1.056
Ge -3.005 0.196 -0.883
```

- Space group: P4/mbm, No. 127



<B>
A relaxed Ge2Pt2Pb crystal. Source: Alexandria, functional PBE. Values from VASP.

The structure in Quantum ESPRESSO input format:
```
&SYSTEM
  ibrav = 0, nat = 10, ntyp = 3
/
ATOMIC_SPECIES
Pt 195.08 Pt.upf
Ge 72.64 Ge.upf
Pb 207.20 Pb.upf
CELL_PARAMETERS angstrom
-3.878 5.977 -3.358
-6.671 -2.399 3.433
0.619 1.773 2.441
ATOMIC_POSITIONS angstrom
Pt -2.957 -0.064 0.796
Ge -2.039 2.646 0.538
Ge -5.356 5.139 -0.432
Ge -7.890 2.704 1.978
Pt -7.592 3.642 -0.721
Pt -3.369 3.474 -1.669
Pb -5.274 1.789 0.038
Pb 0.000 0.000 0.000
Ge -4.573 0.212 2.948
Pt -7.179 0.104 1.744
```

- Space group: P4/mbm, No. 127



From most stable to least stable, the computed energies give <B>, <A>.